(1)
First-principles (PBE) data for a relaxed PmDy2Lu crystal, as listed in Alexandria.

The value obtained for the total energy is -0.16882 hartree per atom. Its energy of formation from the pure elements is 0.03 eV per atom.

a = 11.734 Å, b = 11.734 Å, c = 11.734 Å
α = 17.41°, β = 17.41°, γ = 17.41°
Sites, in units of the cell vectors:
Pm 0.000 0.000 0.000
Dy 0.248 0.248 0.248
Dy 0.752 0.752 0.752
Lu 0.500 0.500 0.500

(2)
First-principles (PBE) data for a relaxed KOs2Br crystal, as listed in Alexandria.

The value obtained for the total energy is -0.14365 hartree per atom.

a = 4.691 Å, b = 4.691 Å, c = 4.691 Å
α = 60.00°, β = 60.00°, γ = 60.00°
Sites, in units of the cell vectors:
K 0.000 0.000 0.000
Os 0.250 0.250 0.250
Os 0.750 0.750 0.750
Br 0.500 0.500 0.500

(3)
First-principles (PBE) data for a relaxed Sr2ScSi crystal, as listed in Alexandria.

The value obtained for the total energy is -0.12911 hartree per atom.

a = 11.104 Å, b = 11.104 Å, c = 11.104 Å
α = 19.60°, β = 19.60°, γ = 19.60°
Sites, in units of the cell vectors:
Sr 0.235 0.235 0.235
Sr 0.765 0.765 0.765
Sc 0.000 0.000 0.000
Si 0.500 0.500 0.500

(4)
First-principles (PBE) data for a relaxed Ba3ZnAu3 crystal, as listed in Alexandria.

The value obtained for the total energy is -0.11184 hartree per atom. Its energy of formation from the pure elements is -0.63 eV per atom.

a = 6.553 Å, b = 6.553 Å, c = 16.893 Å
α = 108.18°, β = 108.18°, γ = 41.38°
Sites, in units of the cell vectors:
Ba 0.033 0.033 0.273
Ba 0.172 0.172 0.579
Ba 0.330 0.330 0.899
Ba 0.670 0.670 0.101
Ba 0.828 0.828 0.421
Ba 0.967 0.967 0.727
Zn 0.388 0.388 0.120
Zn 0.612 0.612 0.880
Au 0.066 0.066 0.940
Au 0.319 0.319 0.259
Au 0.456 0.456 0.576
Au 0.544 0.544 0.424
Au 0.681 0.681 0.741
Au 0.934 0.934 0.060

(5)
First-principles (PBE) data for a relaxed ThAgHg5 crystal, as listed in Alexandria.

The value obtained for the total energy is -0.06648 hartree per atom. Its energy of formation from the pure elements is -0.13 eV per atom.

a = 4.872 Å, b = 4.872 Å, c = 7.475 Å
α = 90.00°, β = 90.00°, γ = 90.00°
Sites, in units of the cell vectors:
Th 0.000 0.000 0.000
Ag 0.000 0.000 0.500
Hg 0.000 0.500 0.290
Hg 0.000 0.500 0.710
Hg 0.500 0.000 0.290
Hg 0.500 0.000 0.710
Hg 0.500 0.500 0.000

(6)
First-principles (PBE) data for a relaxed MgFeBr2 crystal, as listed in Alexandria.

The value obtained for the total energy is -0.12096 hartree per atom.

a = 3.444 Å, b = 4.193 Å, c = 6.363 Å
α = 90.00°, β = 90.00°, γ = 90.00°
Sites, in units of the cell vectors:
Mg 0.000 0.000 0.000
Fe 0.500 0.000 0.500
Br 0.000 0.500 0.500
Br 0.500 0.500 0.000